Entry 1:
Below is crystalline PmSmTe2O at its relaxed geometry, with properties calculated at the PBE level.

The structure belongs to space group P4/nmm (No. 129, origin choice 2); the cell edges are 4.221, 4.221 and 16.122 Å and the angles 90.00°, 90.00° and 90.00°. Symmetry generates all atoms from Pm at (0.250, 0.250, 0.067), Sm at (0.250, 0.250, 0.635), Te at (0.250, 0.250, 0.417), Te at (0.250, 0.250, 0.816) and O at (0.250, 0.750, 0.000).

The raw formation energy comes out at -10.333 eV per formula unit. As for the electronic total energy: -62.088 eV per cell. As for the total moment: 0.000 μB per atom.

***

Entry 2:
Below is crystalline Pm4Sm2Tl3O2 at its relaxed geometry, with properties calculated at the PBE level.

The structure belongs to space group I4/mmm (No. 139); the cell edges are 4.822, 4.822 and 25.495 Å and the angles 90.00°, 90.00° and 90.00°. Symmetry generates all atoms from Pm at (0.000, 0.500, 0.086), Sm at (0.000, 0.000, 0.197), Tl at (0.000, 0.000, 0.323), Tl at (0.000, 0.000, 0.500) and O at (0.000, 0.000, 0.104).

The raw formation energy comes out at -13.327 eV per formula unit. As for the electronic total energy: -117.567 eV per cell. As for the total moment: 0.000 μB per atom.

***

Entry 3:
Below is crystalline Pm12SmTl4O3 at its relaxed geometry, with properties calculated at the PBE level.

The structure belongs to space group Im-3m (No. 229); the cell edges are 10.225, 10.225 and 10.225 Å and the angles 90.00°, 90.00° and 90.00°. Symmetry generates all atoms from Pm at (0.000, 0.000, 0.274), Pm at (0.000, 0.250, 0.500), Sm at (0.000, 0.000, 0.000), Tl at (0.250, 0.250, 0.250) and O at (0.000, 0.000, 0.500).

The raw formation energy comes out at -14.758 eV per formula unit. As for the electronic total energy: -201.648 eV per cell. As for the total moment: 0.026 μB per atom.